Entry 1:
Below is a relaxed structure of Tb6SnAu5, with properties calculated at the GGA-PBE level.

Its final energy is -4.82 eV/atom. The value obtained for the total magnetic moment is 0.00 μB per cell. For the density of states at the Fermi level, the calculation gives 7.569 states/eV per cell. For the formation energy, the calculation gives -0.810 eV/atom.

The space group is P2/m (No. 10) and the conventional cell measures 5.1316, 7.3251 and 8.1395 Å, with angles of 90.00, 108.32 and 90.00 degrees. The asymmetric unit holds Tb at (0.0000, 0.2402, 0.0000), Tb at (0.3298, 0.2465, 0.6596), Sn at (0.5000, 0.5000, 0.0000), Au at (0.1602, 0.5000, 0.3211), Au at (0.1674, 0.0000, 0.3347) and Au at (0.5000, 0.0000, 0.0000).


Entry 2:
Below is a relaxed structure of Tb2SnAu2, with properties calculated at the GGA-PBE level.

Its final energy is -4.81 eV/atom. The value obtained for the total magnetic moment is 0.00 μB per cell. For the density of states at the Fermi level, the calculation gives 3.932 states/eV per cell. For the formation energy, the calculation gives -0.848 eV/atom.

The space group is P4/mbm (No. 127) and the conventional cell measures 7.9722, 7.9722 and 3.7755 Å, with angles of 90.00, 90.00 and 90.00 degrees. The asymmetric unit holds Tb at (0.1698, 0.3302, 0.0000), Sn at (0.0000, 0.0000, 0.5000) and Au at (0.1274, 0.6274, 0.5000).


Repeat the second record exactly.
Below is a relaxed structure of Tb2SnAu2, with properties calculated at the GGA-PBE level.

Its final energy is -4.81 eV/atom. The value obtained for the total magnetic moment is 0.00 μB per cell. For the density of states at the Fermi level, the calculation gives 3.932 states/eV per cell. For the formation energy, the calculation gives -0.848 eV/atom.

The space group is P4/mbm (No. 127) and the conventional cell measures 7.9722, 7.9722 and 3.7755 Å, with angles of 90.00, 90.00 and 90.00 degrees. The asymmetric unit holds Tb at (0.1698, 0.3302, 0.0000), Sn at (0.0000, 0.0000, 0.5000) and Au at (0.1274, 0.6274, 0.5000).


Q: Which of these has the highest final energy?
A: Tb2SnAu2


Copy entry 1 word for word.
Below is a relaxed structure of Tb6SnAu5, with properties calculated at the GGA-PBE level.

Its final energy is -4.82 eV/atom. The value obtained for the total magnetic moment is 0.00 μB per cell. For the density of states at the Fermi level, the calculation gives 7.569 states/eV per cell. For the formation energy, the calculation gives -0.810 eV/atom.

The space group is P2/m (No. 10) and the conventional cell measures 5.1316, 7.3251 and 8.1395 Å, with angles of 90.00, 108.32 and 90.00 degrees. The asymmetric unit holds Tb at (0.0000, 0.2402, 0.0000), Tb at (0.3298, 0.2465, 0.6596), Sn at (0.5000, 0.5000, 0.0000), Au at (0.1602, 0.5000, 0.3211), Au at (0.1674, 0.0000, 0.3347) and Au at (0.5000, 0.0000, 0.0000).


Q: The lowest final energy belongs to which entry?
A: Tb6SnAu5